# SrHg2Pt | the Alexandria database | SCAN | single point on PBEsol structure
data_SrHg2Pt
_space_group_name_H-M_alt 'P 1'
_space_group_IT_number 1
_cell_length_a 4.672
_cell_length_b 4.672
_cell_length_c 15.374
_cell_angle_alpha 90.00
_cell_angle_beta 90.00
_cell_angle_gamma 120.00
loop_
_space_group_symop_operation_xyz
'x,y,z'
loop_
_atom_site_label
_atom_site_type_symbol
_atom_site_fract_x
_atom_site_fract_y
_atom_site_fract_z
_atom_site_occupancy
Sr1 Sr 0.000 0.000 0.000 1
Sr2 Sr 0.333 0.667 0.667 1
Sr3 Sr 0.667 0.333 0.333 1
Hg1 Hg 0.000 0.000 0.218 1
Hg2 Hg 0.000 0.000 0.782 1
Hg3 Hg 0.333 0.667 0.449 1
Hg4 Hg 0.333 0.667 0.884 1
Hg5 Hg 0.667 0.333 0.116 1
Hg6 Hg 0.667 0.333 0.551 1
Pt1 Pt 0.000 0.000 0.500 1
Pt2 Pt 0.333 0.667 0.167 1
Pt3 Pt 0.667 0.333 0.833 1
# **ΔE_f**: -503.2 meV/atom
# **E**: -692.44 eV/cell
# **Calculated volume**: 290.6 Å³ per cell
# **Crystal system**: trigonal